## AlCu2 (PBE)

Data for AlCu2 after structural relaxation.

Unit cell a=4.438 b=4.438 c=5.204 alpha=103.29 beta=103.29 gamma=50.71
Positions (direct):
Al1 0.160 0.160 0.316
Al2 0.840 0.840 0.684
Cu1 0.169 0.169 0.825
Cu2 0.500 0.500 0.000
Cu3 0.500 0.500 0.500
Cu4 0.831 0.831 0.175

Formation enthalpy at 0 K (eV/f.u.): -0.58
DOS(E_F) (states/eV/f.u.): 0.852
DFT total energy (eV per atom): -4.171
Spin magnetization (μB/f.u.): 0.0